Compound: TbCoBi
Source: Alexandria via LeMat-Bulk
Functional: PBE
Structure: relaxed

Results
- E_form: -242 meV/atom
- Space group: C2/m (12)
- Raw total energy: -5.448 eV per atom
- D(E_F): 0.812 states/eV/atom

a = 5.807 Å, b = 5.807 Å, c = 6.813 Å
α = 98.65°, β = 98.65°, γ = 40.67°
Positions (direct):
Tb 0.144 0.144 0.161
Tb 0.856 0.856 0.839
Co 0.439 0.439 0.115
Co 0.561 0.561 0.885
Bi 0.125 0.125 0.661
Bi 0.875 0.875 0.339